Compound: Li3CrP2O8
Source: Alexandria via LeMat-Bulk
Functional: PBE+U
Structure: relaxed

Unit cell a=4.9202 b=8.7345 c=7.8463 alpha=90.00 beta=124.18 gamma=90.00
With the nearest neighbours (Å) after each atom.
Space group P2_1/c (No. 14)
One atom of each set of equivalent atoms:
1 Li 0.0000 0.0000 0.0000  4 O 1.96-2.05
2 Li 0.3259 0.1388 0.8133  4 O 2.03-2.26
3 Cr 0.5000 0.0000 0.5000  6 O 2.01-2.09
4 P 0.1934 0.6816 0.2207  4 O 1.52-1.57
5 O 0.1460 0.1358 0.4768  1 P 1.56
6 O 0.1819 0.6407 0.7499  1 P 1.57
7 O 0.2553 0.5962 0.4078  1 P 1.52
8 O 0.4744 0.6455 0.1894  1 P 1.57

Calculated values
energy above the most stable polymorph in this dataset: 0.07 eV per formula unit
uncorrected energy: -6.8184 eV per atom
N(E_F): 0.0 states/eV per cell